Record 1
A geometry-optimized Y2RuPb structure, computed with GGA-PBE.

Cell: 5.8229 5.8229 5.8229 Å, 135.90 135.90 64.13°
Last column: nearest neighbours and their distance in Å.
Element x y z (fractional)
Pb 0.5000 0.5000 0.0000  8 Y 3.09-3.30, 4 Ru 3.30
Ru 0.7500 0.2500 0.5000  8 Y 3.09-3.30, 4 Pb 3.30
Y 0.0000 0.0000 0.0000  4 Pb 3.09, 4 Ru 3.30, 4 Y 3.30
Y 0.2500 0.7500 0.5000  4 Ru 3.09, 4 Pb 3.30, 4 Y 3.30

Calculated total energy   -6.62 eV/atom
Density   8.56 g cm⁻³
DFT formation energy   -0.137 eV per atom
M_tot   0.000 μB/cell
Density of states at the Fermi level   0.9912 states/eV per atom
V   94.3 Å³ per cell

Record 2
A geometry-optimized CaNiAs2Pt structure, computed with GGA-PBE.

Cell: 5.1558 4.4046 5.1558 Å, 90.00 90.00 90.00°
Last column: nearest neighbours and their distance in Å.
Element x y z (fractional)
Ni 0.0000 0.5000 0.0000  2 Ca 2.20
As 0.0000 0.0000 0.5000  2 Ca 2.58
As 0.5000 0.0000 0.0000  2 Ca 2.58
Ca 0.0000 0.0000 0.0000  2 Ni 2.20
Pt 0.5000 0.5000 0.5000  8 As 3.39, 4 Ni 3.65

Calculated total energy   -3.28 eV/atom
Density   6.29 g cm⁻³
DFT formation energy   1.346 eV per atom
M_tot   0.000 μB/cell
Density of states at the Fermi level   0.8258 states/eV per atom
V   117.1 Å³ per cell

Record 3
A geometry-optimized ZrAl2Bi structure, computed with GGA-PBE.

Cell: 7.9762 7.9762 6.3698 Å, 51.24 51.24 90.00°
Last column: nearest neighbours and their distance in Å.
Element x y z (fractional)
Bi 0.0000 0.0000 0.0000  4 Al 2.92, 2 Zr 2.96
Bi 0.7500 0.2500 0.5000  4 Al 2.92, 2 Zr 2.96
Zr 0.5000 0.5000 0.0000  4 Al 2.91, 2 Bi 2.96
Zr 0.2500 0.7500 0.5000  4 Al 2.91, 2 Bi 2.96
Al 0.6246 0.1250 0.2500  2 Zr 2.91, 2 Bi 2.92, 2 Al 2.96
Al 0.1254 0.6250 0.2500  2 Zr 2.91, 2 Bi 2.92, 2 Al 2.96
Al 0.3750 0.3754 0.7500  2 Zr 2.91, 2 Bi 2.92, 2 Al 2.96
Al 0.8750 0.8746 0.7500  2 Zr 2.91, 2 Bi 2.92, 2 Al 2.96

Calculated total energy   -4.76 eV/atom
Density   6.24 g cm⁻³
DFT formation energy   0.221 eV per atom
M_tot   0.000 μB/cell
Density of states at the Fermi level   0.8553 states/eV per atom
V   188.3 Å³ per cell

Record 4
A geometry-optimized Pm8InPb2 structure, computed with GGA-PBE.

Cell: 5.3182 6.9862 10.2801 Å, 103.33 104.99 90.00°
Last column: nearest neighbours and their distance in Å.
Element x y z (fractional)
Pm 0.4089 0.5201 0.8177  1 In 3.41, 2 Pb 3.51, 5 Pm 3.56-3.81
Pm 0.6585 0.0059 0.3170  1 In 3.14, 3 Pb 3.23-3.26, 2 Pm 3.48
Pm 0.7876 0.6725 0.5753  3 Pb 3.26-3.58, 2 Pm 3.48
Pm 0.9855 0.2352 0.9711  2 In 3.17, 1 Pb 3.26, 1 Pm 3.47
Pm 0.2124 0.3275 0.4247  3 Pb 3.26-3.58, 2 Pm 3.48
Pm 0.3415 0.9941 0.6830  1 In 3.14, 3 Pb 3.23-3.26, 2 Pm 3.48
Pm 0.5911 0.4799 0.1823  1 In 3.41, 2 Pb 3.51, 5 Pm 3.56-3.81
Pm 0.0145 0.7648 0.0289  2 In 3.17, 1 Pb 3.26, 1 Pm 3.47
In 0.5000 0.0000 0.0000  8 Pm 3.14-3.41
Pb 0.8215 0.2381 0.6430  9 Pm 3.23-3.58
Pb 0.1785 0.7619 0.3570  9 Pm 3.23-3.58

Calculated total energy   -4.63 eV/atom
Density   7.83 g cm⁻³
DFT formation energy   -0.253 eV per atom
M_tot   0.001 μB/cell
Density of states at the Fermi level   1.1299 states/eV per atom
V   358.3 Å³ per cell

Record 5
A geometry-optimized CsNaCo2Cl8 structure, computed with GGA-PBE.

Cell: 6.6443 6.6443 10.3934 Å, 71.36 71.36 60.00°
Last column: nearest neighbours and their distance in Å.
Element x y z (fractional)
Cs 0.5000 0.5000 0.5000  12 Cl 3.84-3.85
Na 0.0000 0.0000 0.0000  6 Cl 2.89
Co 0.2514 0.2514 0.2458  4 Cl 2.18
Co 0.7486 0.7486 0.7542  4 Cl 2.18
Cl 0.1761 0.1761 0.4717  1 Co 2.18
Cl 0.5815 0.2858 0.1762  1 Co 2.18
Cl 0.8239 0.8239 0.5283  1 Co 2.18
Cl 0.9566 0.5815 0.1762  1 Co 2.18
Cl 0.0434 0.4185 0.8238  1 Co 2.18
Cl 0.2858 0.9566 0.1762  1 Co 2.18
Cl 0.7142 0.0434 0.8238  1 Co 2.18
Cl 0.4185 0.7142 0.8238  1 Co 2.18

Raw formation energy   -97 kJ/mol of atoms
Calculated total energy   -3.60 eV/atom
Density   2.51 g cm⁻³
M_tot   8.000 μB/cell
Density of states at the Fermi level   1.0486 states/eV per atom
V   369.3 Å³ per cell

Record 6
A geometry-optimized Dy2ZnGa4Au3 structure, computed with GGA-PBE.

Cell: 4.2053 4.2053 11.1132 Å, 90.00 90.00 90.00°
Last column: nearest neighbours and their distance in Å.
Element x y z (fractional)
Dy 0.5000 0.0000 0.2583  8 Ga 3.20-3.56, 6 Au 3.25-3.41, 2 Zn 3.41
Dy 0.0000 0.5000 0.7417  8 Ga 3.20-3.56, 6 Au 3.25-3.41, 2 Zn 3.41
Zn 0.5000 0.5000 0.5000  4 Ga 2.59
Ga 0.5000 0.5000 0.0000  4 Au 2.62
Ga 0.0000 0.0000 0.0000  4 Au 2.62
Ga 0.5000 0.0000 0.6361  3 Au 2.49-2.59, 2 Zn 2.59
Ga 0.0000 0.5000 0.3639  3 Au 2.49-2.59, 2 Zn 2.59
Au 0.0000 0.0000 0.5000  4 Ga 2.59
Au 0.5000 0.0000 0.8600  5 Ga 2.49-2.62
Au 0.0000 0.5000 0.1400  5 Ga 2.49-2.62

Calculated total energy   -3.81 eV/atom
Density   10.65 g cm⁻³
DFT formation energy   -0.566 eV per atom
M_tot   0.000 μB/cell
Density of states at the Fermi level   0.5372 states/eV per atom
V   196.5 Å³ per cell

Record 7
A geometry-optimized K2TcAu structure, computed with GGA-PBE.

Cell: 5.3482 5.3482 5.3482 Å, 120.08 120.08 89.85°
Last column: nearest neighbours and their distance in Å.
Element x y z (fractional)
Au 0.7500 0.2500 0.5000  4 K 3.27, 4 Tc 3.27
K 0.0000 0.0000 0.0000  4 K 3.27, 4 Au 3.27
K 0.2500 0.7500 0.5000  4 K 3.27, 4 Tc 3.27
Tc 0.5000 0.5000 0.0000  4 Au 3.27, 4 K 3.27

Calculated total energy   -3.03 eV/atom
Density   5.74 g cm⁻³
DFT formation energy   0.931 eV per atom
M_tot   3.561 μB/cell
Density of states at the Fermi level   1.0636 states/eV per atom
V   108.0 Å³ per cell

Record 8
A geometry-optimized PS2BrN structure, computed with GGA-PBE.

Cell: 4.8776 4.8776 3.2894 Å, 90.00 90.00 90.00°
Last column: nearest neighbours and their distance in Å.
Element x y z (fractional)
P 0.0000 0.0000 0.0000  2 N 1.64
S 0.0000 0.5000 0.0000  2 P 2.44
S 0.5000 0.0000 0.0000  2 P 2.44
Br 0.5000 0.5000 0.5000  8 S 2.94, 2 Br 3.29
N 0.0000 0.0000 0.5000  2 P 1.64

Raw formation energy   85 kJ/mol of atoms
Calculated total energy   -3.85 eV/atom
Density   4.01 g cm⁻³
M_tot   0.000 μB/cell
Density of states at the Fermi level   0.7209 states/eV per atom
V   78.3 Å³ per cell

density of states at the Fermi level of number 3 (ZrAl2Bi)?
0.8553 states/eV per atom

Which of these has the lowest calculated total energy?
Y2RuPb

Which of these has the highest V?
CsNaCo2Cl8